# Dy2TiNiO6 (GGA+U, relaxed)
# ρ, kg/m³: 7639
# Crystal system: monoclinic
# DFT total energy, eV per cell: -158.1
data_Dy2TiNiO6
_chemical_formula_sum 'Dy4 Ti2 Ni2 O12'
_cell_length_a 5.3056
_cell_length_b 5.6401
_cell_length_c 9.2659
_cell_angle_alpha 90.00
_cell_angle_beta 124.19
_cell_angle_gamma 90.00
_symmetry_space_group_name_H-M 'P 1 21/c 1'
_symmetry_Int_Tables_number 14
loop_
_symmetry_equiv_pos_as_xyz
'x,y,z'
'-x,-y,-z'
'-x,y+1/2,-z+1/2'
'x,-y+1/2,z+1/2'
loop_
_atom_site_label
_atom_site_type_symbol
_atom_site_fract_x
_atom_site_fract_y
_atom_site_fract_z
Dy1 Dy 0.2276 0.0705 0.2477
Ti1 Ti 0.5000 0.0000 0.0000
Ni1 Ni 0.0000 0.0000 0.5000
O1 O 0.1439 0.1870 0.9445
O2 O 0.2539 0.7046 0.9373
O3 O 0.3731 0.0426 0.7567